{"formula": "Y2Pa2O5", "functional": "PBE-GGA", "state": "relaxed", "sg": "P4/mmm, No. 123", "dft_energy_ev_per_atom": -8.33, "relative_energy_mev_per_atom": 73, "lattice": [[7.566, 0.000, 0.000], [0.000, 4.355, 0.000], [0.000, 0.000, 4.355]], "species": ["Y", "Y", "O", "O", "O", "O", "O", "Pa", "Pa"], "fractional_positions": [[0.218, 0.500, 0.500], [0.782, 0.500, 0.500], [0.230, 0.500, 0.000], [0.770, 0.500, 0.000], [0.770, 0.000, 0.500], [0.500, 0.500, 0.500], [0.230, 0.000, 0.500], [0.500, 0.000, 0.000], [0.000, 0.000, 0.000]]}



{"formula": "ZrNb2Mo", "functional": "PBE-GGA", "state": "relaxed", "sg": "F-43m, No. 216", "dft_energy_ev_per_atom": -9.85, "e_form_mev_per_atom": 44, "lattice": [[0.000, 3.325, 3.325], [3.325, 0.000, 3.325], [3.325, 3.325, 0.000]], "species": ["Nb", "Nb", "Mo", "Zr"], "fractional_positions": [[0.000, 0.000, 0.000], [0.250, 0.250, 0.250], [0.500, 0.500, 0.500], [0.750, 0.750, 0.750]]}



{"formula": "NbNiMo", "functional": "PBE-GGA", "state": "relaxed", "sg": "F-43m, No. 216", "dft_energy_ev_per_atom": -8.33, "e_form_mev_per_atom": 505, "relative_energy_mev_per_atom": 250, "lattice": [[1.249, -3.719, 1.298], [-2.209, -2.052, 2.826], [-2.110, -3.383, -1.085]], "species": ["Ni", "Nb", "Mo"], "fractional_positions": [[0.000, 0.000, 0.000], [0.750, 0.750, 0.750], [0.250, 0.250, 0.250]]}